Computed, not measured: a relaxed CePrSm2Dy5 crystal at the PBE level of DFT.

Values from the calculation:
Its volume is 32.6 A^3/atom. The density of states at the Fermi level is 15.021 states/eV/f.u. The symmetry is I4/mcm, No. 140. The crystal system is tetragonal. The formation energy is 268 meV/atom.

Cell lengths 8.7113, 8.7113, 9.8902 Å; angles 116.13, 116.13, 90.00 degrees
Each line ends with the local moment (μB).
Positions (direct):
1 Ce 0.2500 0.7500 0.5000  0.77
2 Ce 0.7500 0.2500 0.5000  0.77
3 Pr 0.2500 0.2500 0.5000  0.00
4 Pr 0.7500 0.7500 0.5000  0.00
5 Sm 0.1197 0.3803 0.0000  -0.02
6 Sm 0.6197 0.1197 0.0000  -0.02
7 Sm 0.3803 0.8803 0.0000  -0.02
8 Sm 0.8803 0.6197 0.0000  -0.02
9 Dy 0.9361 0.4361 0.2751  0.06
10 Dy 0.6610 0.1610 0.7249  0.06
11 Dy 0.0639 0.5639 0.7249  0.06
12 Dy 0.1610 0.0639 0.7249  0.06
13 Dy 0.5639 0.6610 0.7249  0.06
14 Dy 0.8390 0.9361 0.2751  0.06
15 Dy 0.4361 0.3390 0.2751  0.06
16 Dy 0.3390 0.8390 0.2751  0.06
17 Dy 0.5000 0.5000 0.0000  -0.03
18 Dy 0.0000 0.0000 0.0000  -0.03

Computed, not measured: a relaxed CePrSm6Dy2 crystal at the PBE level of DFT.

Values from the calculation:
Its volume is 34.1 A^3/atom. The density of states at the Fermi level is 23.139 states/eV/f.u. The symmetry is C2/m, No. 12. The crystal system is monoclinic. The formation energy is 244 meV/atom.

Cell lengths 8.9907, 6.8519, 6.6632 Å; angles 120.94, 102.27, 90.00 degrees
Each line ends with the local moment (μB).
Positions (direct):
1 Ce 0.0000 0.5000 0.0000  0.78
2 Pr 0.5000 0.0000 0.0000  0.00
3 Sm 0.4156 0.6293 0.2586  0.04
4 Sm 0.1967 0.0686 0.6598  0.03
5 Sm 0.8033 0.4088 0.3402  0.03
6 Sm 0.1967 0.5912 0.6598  0.03
7 Sm 0.8033 0.9314 0.3402  0.03
8 Sm 0.5844 0.3707 0.7414  0.04
9 Dy 0.1616 0.0906 0.1811  0.06
10 Dy 0.8384 0.9094 0.8189  0.06

Computed, not measured: a relaxed CePr6Sm2Dy crystal at the PBE level of DFT.

Values from the calculation:
Its volume is 35.4 A^3/atom. The density of states at the Fermi level is 21.466 states/eV/f.u. The symmetry is C2/m, No. 12. The crystal system is monoclinic. The formation energy is 228 meV/atom.

Cell lengths 8.9723, 7.1019, 6.7400 Å; angles 121.79, 102.20, 90.00 degrees
Each line ends with the local moment (μB).
Positions (direct):
1 Ce 0.0000 0.5000 0.0000  0.77
2 Pr 0.4140 0.6228 0.2456  0.00
3 Pr 0.2040 0.0600 0.6487  0.00
4 Pr 0.7960 0.4113 0.3513  0.00
5 Pr 0.2040 0.5887 0.6487  0.00
6 Pr 0.7960 0.9400 0.3513  0.00
7 Pr 0.5860 0.3772 0.7544  0.00
8 Sm 0.1651 0.0897 0.1794  0.01
9 Sm 0.8349 0.9103 0.8206  0.01
10 Dy 0.5000 0.0000 0.0000  -0.02

Computed, not measured: a relaxed CePr6SmDy2 crystal at the PBE level of DFT.

Values from the calculation:
Its volume is 35.2 A^3/atom. The density of states at the Fermi level is 22.466 states/eV/f.u. The symmetry is C2/m, No. 12. The crystal system is monoclinic. The formation energy is 231 meV/atom.

Cell lengths 8.9592, 7.1016, 6.6874 Å; angles 122.07, 100.64, 90.00 degrees
Each line ends with the local moment (μB).
Positions (direct):
1 Ce 0.0000 0.5000 0.0000  0.78
2 Pr 0.4178 0.6290 0.2579  0.01
3 Pr 0.2025 0.0651 0.6605  0.01
4 Pr 0.7975 0.4046 0.3395  0.01
5 Pr 0.2025 0.5954 0.6605  0.01
6 Pr 0.7975 0.9349 0.3395  0.01
7 Pr 0.5822 0.3710 0.7421  0.01
8 Sm 0.5000 0.0000 0.0000  -0.01
9 Dy 0.1579 0.0931 0.1863  0.03
10 Dy 0.8421 0.9069 0.8137  0.03

Computed, not measured: a relaxed Tb6Ce2Pr3Dy crystal at the PBE level of DFT.

Values from the calculation:
Its volume is 32.6 A^3/atom. The density of states at the Fermi level is 21.046 states/eV/f.u. The symmetry is C2/m, No. 12. The crystal system is monoclinic. The formation energy is 46 meV/atom.

Cell lengths 6.2253, 6.2253, 11.8478 Å; angles 95.02, 95.02, 120.01 degrees
Each line ends with the local moment (μB).
Positions (direct):
1 Tb 0.9183 0.5826 0.7554  0.02
2 Tb 0.7461 0.7461 0.2447  0.02
3 Tb 0.0817 0.4174 0.2446  0.02
4 Tb 0.5826 0.9183 0.7554  0.02
5 Tb 0.2539 0.2539 0.7553  0.02
6 Tb 0.4174 0.0817 0.2446  0.02
7 Ce 0.3335 0.6665 0.0000  0.74
8 Ce 0.6665 0.3335 0.0000  0.74
9 Pr 0.1661 0.8339 0.5000  -0.01
10 Pr 0.8339 0.1661 0.5000  -0.01
11 Pr 0.5000 0.5000 0.5000  -0.01
12 Dy 0.0000 0.0000 0.0000  0.05

Computed, not measured: a relaxed Tb2CePrDy5 crystal at the PBE level of DFT.

Values from the calculation:
Its volume is 32.9 A^3/atom. The density of states at the Fermi level is 16.121 states/eV/f.u. The symmetry is Cmc2_1, No. 36. The crystal system is orthorhombic. The formation energy is 174 meV/atom.

Cell lengths 5.7093, 11.1605, 9.6028 Å; angles 90.00, 90.00, 104.82 degrees
Each line ends with the local moment (μB).
Positions (direct):
1 Tb 0.8870 0.7741 0.8217  0.01
2 Tb 0.1391 0.2782 0.7024  0.02
3 Tb 0.1130 0.2259 0.3217  0.01
4 Tb 0.8609 0.7218 0.2024  0.02
5 Ce 0.8040 0.6080 0.5230  0.64
6 Ce 0.1960 0.3920 0.0230  0.64
7 Pr 0.5970 0.1940 0.9228  -0.02
8 Pr 0.4030 0.8060 0.4228  -0.02
9 Dy 0.3942 0.7884 0.0398  -0.01
10 Dy 0.7344 0.4687 0.8356  0.04
11 Dy 0.4714 0.9428 0.7455  -0.03
12 Dy 0.3074 0.6148 0.7180  0.05
13 Dy 0.9879 0.9758 0.5153  -0.01
14 Dy 0.6058 0.2116 0.5398  -0.01
15 Dy 0.2656 0.5313 0.3356  0.04
16 Dy 0.5286 0.0572 0.2455  -0.03
17 Dy 0.6926 0.3852 0.2180  0.05
18 Dy 0.0121 0.0242 0.0153  -0.01